Compound: Tb2AgGe3Pt4
Source: Alexandria
Functional: PBE
Structure: optimized geometry

- E (eV per atom) = -5.80
- formation energy (meV/atom) = -785
- space-group type = No. 115

Structure (CIF):
```
data_Tb2AgGe3Pt4
_chemical_formula_sum 'Tb2 Ag1 Ge3 Pt4'
_cell_length_a 4.078
_cell_length_b 4.078
_cell_length_c 11.471
_cell_angle_alpha 90.00
_cell_angle_beta 90.00
_cell_angle_gamma 90.00
_symmetry_space_group_name_H-M 'P 1'
_symmetry_Int_Tables_number 1
loop_
_symmetry_equiv_pos_as_xyz
'x,y,z'
loop_
_atom_site_label
_atom_site_type_symbol
_atom_site_fract_x
_atom_site_fract_y
_atom_site_fract_z
Pt1 Pt 0.500 0.500 0.000
Tb1 Tb 0.000 0.500 0.751
Ge1 Ge 0.000 0.000 0.500
Ge2 Ge 0.500 0.000 0.869
Pt2 Pt 0.000 0.000 0.000
Ge3 Ge 0.000 0.500 0.131
Pt3 Pt 0.000 0.500 0.341
Pt4 Pt 0.500 0.000 0.659
Tb2 Tb 0.500 0.000 0.249
Ag1 Ag 0.500 0.500 0.500
```